4
Lattice="2.6994 -2.8210 0.0000 2.6994 2.8210 0.0000 0.0000 0.0000 11.0926" Properties=species:S:1:pos:R:3 comment="K2CaCo (GGA-PBE, optimized geometry)" e_form_mev_per_atom=810 dft_energy_ev_per_atom=-2.02 m_tot_mub_per_atom=0.517 dos_at_fermi_per_ev_cell=4.6 pbc="T T T"
K 0.0000 0.0000 2.0846
K 0.0000 0.0000 9.0081
Ca 2.6994 0.0000 5.5463
Co 2.6994 0.0000 0.0000

***

4
Lattice="4.3629 0.0000 0.0000 0.0000 6.3875 0.0000 -0.6795 0.0000 5.3239" Properties=species:S:1:pos:R:3 comment="K2CaCo (GGA-PBE, optimized geometry)" e_form_mev_per_atom=812 dft_energy_ev_per_atom=-2.01 m_tot_mub_per_atom=0.341 dos_at_fermi_per_ev_cell=4.2 pbc="T T T"
K 0.7346 0.0000 1.4754
K 2.9489 0.0000 3.8486
Ca 2.1815 3.1937 0.0000
Co -0.3397 3.1937 2.6620